Cu3SF PBE-GGA optimized geometry; formation energy from raw total energies = -280 meV/atom; E above lowest polymorph = 77 kJ/mol of formula units; E_tot = -3.94 eV per atom
1.0
-2.388 1.195 3.366
0.155 -4.011 1.534
3.568 0.974 2.186
Cu S F
3 1 1
Direct
0.500 0.000 0.000 Cu
0.000 0.000 0.500 Cu
0.000 0.500 0.000 Cu
0.000 0.000 0.000 S
0.500 0.500 0.500 F


CuS2F PBE-GGA optimized geometry; formation energy from raw total energies = -627 meV/atom; E above lowest polymorph = 0 kJ/mol of formula units; E_tot = -4.18 eV per atom
1.0
-3.348 -1.939 -3.202
0.260 -4.675 2.559
-3.975 1.684 3.136
F S Cu
2 4 2
Direct
0.250 0.579 0.421 F
0.750 0.421 0.579 F
0.209 0.001 0.745 S
0.291 0.255 0.999 S
0.709 0.999 0.255 S
0.791 0.745 0.001 S
0.500 0.688 0.688 Cu
0.000 0.312 0.312 Cu


Cu2SF PBE-GGA optimized geometry; formation energy from raw total energies = -509 meV/atom; E above lowest polymorph = 55 kJ/mol of formula units; E_tot = -4.06 eV per atom
1.0
3.359 0.000 0.000
1.679 2.909 0.000
1.679 0.970 5.622
Cu S F
2 1 1
Direct
0.081 0.081 0.757 Cu
0.261 0.261 0.216 Cu
0.669 0.669 0.994 S
0.489 0.489 0.533 F